The following is a GGA+U calculation of Cr2FeWO6 after structural relaxation, from Alexandria via LeMat-Bulk.

a b c (Å): 5.2116 5.2420 5.5715
angles (deg): 62.33 62.52 60.39
Element x y z (fractional)
Cr (0.0000, 0.0000, 0.0000)
Cr (0.4944, 0.4944, 0.5142)
Fe (0.2071, 0.1990, 0.3843)
W (0.6992, 0.6936, 0.9079)
O (0.1045, 0.7803, 0.7166)
O (0.2926, 0.6224, 0.2057)
O (0.3889, 0.1106, 0.7102)
O (0.6230, 0.8775, 0.2086)
O (0.7695, 0.3972, 0.7266)
O (0.8864, 0.2838, 0.2145)

* crystal system: triclinic
* total DFT energy (no corrections): -7.56 eV/atom
* space group: P1